Record 1
Material: La3Pr6Ho2Er
Method: DFT, GGA-PBE
State: relaxed

abc: 6.379 6.379 12.126
angles: 95.03 95.03 120.06
Fractional positions:
1 La 0.000 0.000 0.000
2 La 0.333 0.667 0.000
3 La 0.667 0.333 0.000
4 Pr 0.086 0.419 0.257
5 Pr 0.248 0.248 0.743
6 Pr 0.419 0.086 0.257
7 Pr 0.581 0.914 0.743
8 Pr 0.752 0.752 0.257
9 Pr 0.914 0.581 0.743
10 Ho 0.167 0.833 0.500
11 Ho 0.833 0.167 0.500
12 Er 0.500 0.500 0.500

Values from the calculation:
As for the magnetic moment: 0.00 μB/atom. As for the formation energy: 0.019 eV per atom.



Record 2
Material: ZnSCl3
Method: DFT, GGA-PBE
State: relaxed

abc: 4.895 4.895 4.895
angles: 90.00 90.00 90.00
Fractional positions:
1 Zn 0.000 0.000 0.000
2 S 0.500 0.500 0.500
3 Cl 0.000 0.500 0.500
4 Cl 0.500 0.000 0.500
5 Cl 0.500 0.500 0.000

Values from the calculation:
As for the uncorrected formation energy: 161 meV per atom. As for the magnetic moment: 0.00 μB/atom. The calculation puts the relative energy among the computed polymorphs at 166 meV/atom.



Record 3
Material: ZrGaCu
Method: DFT, GGA-PBE
State: relaxed

abc: 4.277 4.044 11.663
angles: 90.00 90.00 90.00
Fractional positions:
1 Zr 0.000 0.000 0.000
2 Zr 0.000 0.500 0.500
3 Zr 0.500 0.000 0.186
4 Zr 0.500 0.500 0.686
5 Ga 0.000 0.000 0.676
6 Ga 0.000 0.500 0.176
7 Ga 0.500 0.000 0.851
8 Ga 0.500 0.500 0.351
9 Cu 0.000 0.000 0.338
10 Cu 0.000 0.500 0.838
11 Cu 0.500 0.000 0.483
12 Cu 0.500 0.500 0.983

Values from the calculation:
As for the magnetic moment: 0.00 μB/atom. As for the formation energy: -0.261 eV per atom.



| no. | density of states at the Fermi level (states/eV per cell) |
| --- | --- |
| 1 | 18.36 |
| 2 | 1.74 |
| 3 | 6.63 |